# HfPIr2 PBE relaxed
# VASP energy = -72.13 eV per cell
# Total magnetization = 0.0 μB/f.u.
# DOS(E_F) = 0.235 states/eV/atom
# ΔE_f = -0.75 eV/atom
data_HfPIr2
_cell_length_a 4.345
_cell_length_b 4.847
_cell_length_c 6.579
_cell_angle_alpha 91.69
_cell_angle_beta 95.88
_cell_angle_gamma 108.43
_space_group_name_H-M_alt 'P 1'
_space_group_IT_number 1
_space_group_name_Hall 'P 1'
loop_
_atom_site_label
_atom_site_fract_x
_atom_site_fract_y
_atom_site_fract_z
Hf1 0.643 0.812 0.007
Ir1 0.053 0.667 0.738
Ir2 0.977 0.441 0.137
P1 0.400 0.249 0.123
Ir3 0.498 0.229 0.772
Hf2 0.485 0.612 0.463
Ir4 0.113 0.972 0.370
P2 0.950 0.137 0.657